No. 1
Crystalline NpSF2 at its relaxed geometry. Source: the Alexandria database, functional PBE.

Cell: 5.112 5.112 7.318 Å, 90.00 90.00 135.92°
Fractional positions:
Np 0.249 0.751 0.750
Np 0.751 0.249 0.250
S 0.461 0.539 0.250
S 0.539 0.461 0.750
F 0.180 0.820 0.069
F 0.180 0.820 0.431
F 0.820 0.180 0.569
F 0.820 0.180 0.931

## Properties
Raw total energy ... -0.2837 Ha/atom
D(E_F) ... 2.1673 states/eV per atom
Volume ... 133.0 Å³ per cell

No. 2
Crystalline Tl2AgPN at its relaxed geometry. Source: the Alexandria database, functional PBE.

Cell: 5.745 5.745 3.819 Å, 90.00 90.00 90.00°
Fractional positions:
Tl 0.000 0.500 0.000
Tl 0.500 0.000 0.000
Ag 0.000 0.000 0.000
P 0.500 0.500 0.500
N 0.000 0.000 0.500

## Properties
Raw total energy ... -0.1177 Ha/atom
D(E_F) ... 0.6526 states/eV per atom
Volume ... 126.0 Å³ per cell

No. 3
Crystalline Tb2Pr5SmEr at its relaxed geometry. Source: the Alexandria database, functional PBE.

Cell: 10.709 10.709 10.783 Å, 90.00 90.00 149.19°
Fractional positions:
Tb 0.112 0.888 0.500
Tb 0.116 0.884 0.072
Tb 0.884 0.116 0.572
Tb 0.888 0.112 0.000
Pr 0.015 0.985 0.779
Pr 0.280 0.720 0.073
Pr 0.295 0.705 0.465
Pr 0.387 0.613 0.784
Pr 0.483 0.517 0.506
Pr 0.517 0.483 0.006
Pr 0.613 0.387 0.284
Pr 0.705 0.295 0.965
Pr 0.720 0.280 0.573
Pr 0.985 0.015 0.279
Sm 0.199 0.801 0.771
Sm 0.801 0.199 0.271
Er 0.407 0.593 0.225
Er 0.593 0.407 0.725

## Properties
D(E_F) ... 1.5727 states/eV per atom
Calculated formation energy ... 0.1385 eV per atom
Volume ... 633.3 Å³ per cell

No. 4
Crystalline Pu3Ga2Au3 at its relaxed geometry. Source: the Alexandria database, functional PBE.

Cell: 6.851 6.851 4.495 Å, 90.00 90.00 120.00°
Fractional positions:
Pu 0.000 0.389 0.000
Pu 0.389 0.000 0.000
Pu 0.611 0.611 0.000
Ga 0.333 0.667 0.500
Ga 0.667 0.333 0.500
Au 0.000 0.757 0.500
Au 0.243 0.243 0.500
Au 0.757 0.000 0.500

## Properties
D(E_F) ... 3.8612 states/eV per atom
Calculated formation energy ... -0.3479 eV per atom
Volume ... 182.7 Å³ per cell

No. 5
Crystalline KTl2In at its relaxed geometry. Source: the Alexandria database, functional PBE.

Cell: 3.720 4.151 8.409 Å, 90.00 90.00 90.00°
Fractional positions:
K 0.000 0.000 0.000
Tl 0.500 0.500 0.291
Tl 0.500 0.500 0.709
In 0.000 0.000 0.500

## Properties
D(E_F) ... 0.4803 states/eV per atom
Calculated formation energy ... -0.0856 eV per atom
Volume ... 129.9 Å³ per cell

No. 6
Crystalline Te2PAuI at its relaxed geometry. Source: the Alexandria database, functional PBE.

Cell: 5.888 5.888 5.122 Å, 90.00 90.00 90.00°
Fractional positions:
Te 0.000 0.500 0.000
Te 0.500 0.000 0.000
P 0.000 0.000 0.500
Au 0.500 0.500 0.500
I 0.000 0.000 0.000

## Properties
Relative energy among the computed polymorphs ... 652 meV per atom
D(E_F) ... 0.8787 states/eV per atom
Volume ... 177.6 Å³ per cell

No. 7
Crystalline TcPbBr2 at its relaxed geometry. Source: the Alexandria database, functional PBE.

Cell: 5.942 5.942 3.599 Å, 106.76 106.76 108.89°
Fractional positions:
Tc 0.000 0.000 0.000
Pb 0.500 0.500 0.000
Br 0.000 0.500 0.500
Br 0.500 0.000 0.500

## Properties
Relative energy among the computed polymorphs ... 493 meV per atom
D(E_F) ... 0.5354 states/eV per atom
Volume ... 104.4 Å³ per cell

No. 8
Crystalline PmPuTlI6 at its relaxed geometry. Source: the Alexandria database, functional PBE.

Cell: 8.014 8.014 15.582 Å, 90.00 90.00 120.00°
Fractional positions:
Pm 0.333 0.667 0.250
Pm 0.667 0.333 0.750
Pu 0.333 0.667 0.750
Pu 0.667 0.333 0.250
Tl 0.000 0.000 0.000
Tl 0.000 0.000 0.500
I 0.006 0.364 0.132
I 0.006 0.642 0.368
I 0.358 0.364 0.368
I 0.358 0.994 0.132
I 0.364 0.006 0.632
I 0.364 0.358 0.868
I 0.636 0.642 0.132
I 0.636 0.994 0.368
I 0.642 0.006 0.868
I 0.642 0.636 0.632
I 0.994 0.358 0.632
I 0.994 0.636 0.868

## Properties
Raw total energy ... -0.1666 Ha/atom
D(E_F) ... 2.1113 states/eV per atom
Volume ... 866.7 Å³ per cell

No. 9
Crystalline NaSr2HfTe at its relaxed geometry. Source: the Alexandria database, functional PBE.

Cell: 6.236 6.236 5.679 Å, 90.00 90.00 90.00°
Fractional positions:
Na 0.000 0.000 0.000
Sr 0.000 0.500 0.500
Sr 0.500 0.000 0.500
Hf 0.000 0.000 0.500
Te 0.500 0.500 0.000

## Properties
Raw total energy ... -0.1037 Ha/atom
D(E_F) ... 0.7958 states/eV per atom
Volume ... 220.8 Å³ per cell

No. 10
Crystalline Na2SrCaAg at its relaxed geometry. Source: the Alexandria database, functional PBE.

Cell: 6.204 6.204 7.208 Å, 90.00 90.00 90.00°
Fractional positions:
Na 0.000 0.500 0.000
Na 0.500 0.000 0.000
Sr 0.000 0.000 0.500
Ca 0.000 0.000 0.000
Ag 0.500 0.500 0.500

## Properties
Relative energy among the computed polymorphs ... 689 meV per atom
D(E_F) ... 0.8400 states/eV per atom
Calculated formation energy ... 0.7553 eV per atom
Volume ... 277.4 Å³ per cell

No. 11
Crystalline TbHo2Hf at its relaxed geometry. Source: the Alexandria database, functional PBE.

Cell: 12.114 12.114 12.114 Å, 15.80 15.80 15.80°
Fractional positions:
Tb 0.000 0.000 0.000
Ho 0.414 0.414 0.414
Ho 0.586 0.586 0.586
Hf 0.500 0.500 0.500

## Properties
Relative energy among the computed polymorphs ... 256 meV per atom
D(E_F) ... 1.6793 states/eV per atom
Calculated formation energy ... 0.3601 eV per atom
Volume ... 114.9 Å³ per cell

No. 12
Crystalline ScAuSe2 at its relaxed geometry. Source: the Alexandria database, functional PBE.

Cell: 3.503 3.503 6.525 Å, 90.00 90.00 90.00°
Fractional positions:
Sc 0.000 0.000 0.000
Au 0.000 0.000 0.500
Se 0.500 0.500 0.221
Se 0.500 0.500 0.779

## Properties
Raw total energy ... -0.1748 Ha/atom
D(E_F) ... 0.5537 states/eV per atom
Volume ... 80.1 Å³ per cell